# 1
First-principles (PBE) data for a geometry-optimized Tb2Ga4IrAu3 structure, as listed in Alexandria via LeMat-Bulk.

Summary:
M_tot = 0.00 μB per formula unit
DOS(E_F) = 3.47 states/eV per cell
formation energy from the elements = -0.61 eV/atom

Geometry as POSCAR:
```
Tb2Ga4IrAu3
1.0
-0.5757 -0.7977 4.0577
1.4943 -3.8601 -0.5469
10.3173 3.6840 2.1880
Tb Ga Ir Au
2 4 1 3
Cartesian
2.3852 0.5556 2.5957
8.3914 0.7995 1.3477
0.4593 -2.3289 1.7554
0.0000 0.0000 0.0000
6.2304 1.9286 3.4112
4.5462 -0.5735 0.5322
5.6180 -0.4869 2.8494
5.1587 1.8420 1.0940
8.5375 2.7524 3.9005
2.2391 -1.3973 0.0430
```



# 2
First-principles (PBE) data for a geometry-optimized Tb2Ga4Ir3Au structure, as listed in Alexandria via LeMat-Bulk.

Summary:
M_tot = 0.00 μB per formula unit
DOS(E_F) = 6.01 states/eV per cell
formation energy from the elements = -0.66 eV/atom

Geometry as POSCAR:
```
Tb2Ga4Ir3Au
1.0
4.1082 0.0000 0.0000
0.0000 4.1082 0.0000
0.0000 0.0000 11.0513
Tb Ga Ir Au
2 4 3 1
Cartesian
2.0541 0.0000 2.6590
0.0000 2.0541 8.3923
2.0541 2.0541 0.0000
0.0000 0.0000 0.0000
2.0541 0.0000 7.0599
0.0000 2.0541 3.9914
0.0000 0.0000 5.5256
2.0541 0.0000 9.5289
0.0000 2.0541 1.5223
2.0541 2.0541 5.5256
```